DFT (meta-GGA SCAN) results for a PBEsol-optimized structure of La2Cu2Ag.

Results
The electronic total energy comes out at -29.811 eV per atom. The total magnetization comes out at 0.00 μB/cell. The value obtained for the formation energy is -0.22 eV/atom. Its density of states at the Fermi level is 3.63 states/eV/f.u.

Unit cell a=3.941 b=7.502 c=7.502 alpha=90.00 beta=90.00 gamma=90.00
Positions (direct):
Cu1 0.000 0.882 0.618
Cu2 0.000 0.118 0.382
Cu3 0.000 0.382 0.882
Cu4 0.000 0.618 0.118
La1 0.500 0.323 0.177
La2 0.500 0.677 0.823
La3 0.500 0.177 0.677
La4 0.500 0.823 0.323
Ag1 0.000 0.000 0.000
Ag2 0.000 0.500 0.500

=====

DFT (meta-GGA SCAN) results for a PBEsol-optimized structure of KCrBr3.

Results
The electronic total energy comes out at -18.375 eV per atom. The total magnetization comes out at 4.00 μB/cell. The calculation puts the uncorrected formation energy at -1.36 eV/atom. Its density of states at the Fermi level is 0.85 states/eV/f.u.

Unit cell a=5.165 b=5.165 c=5.165 alpha=90.00 beta=90.00 gamma=90.00
Last column: magnetic moment on the atom in μB.
Positions (direct):
K1 0.500 0.500 0.500  0.00
Cr1 0.000 0.000 0.000  3.76
Br1 0.500 0.000 0.000  -0.01
Br2 0.000 0.500 0.000  -0.01
Br3 0.000 0.000 0.500  -0.01

=====

DFT (meta-GGA SCAN) results for a PBEsol-optimized structure of KMgAs2.

Results
The electronic total energy comes out at -13.768 eV per atom. The total magnetization comes out at 0.00 μB/cell. The value obtained for the formation energy is -0.35 eV/atom. Its density of states at the Fermi level is 1.15 states/eV/f.u.

Unit cell a=3.131 b=3.131 c=8.785 alpha=90.00 beta=90.00 gamma=90.00
Positions (direct):
Mg1 0.500 0.500 0.500
As1 0.000 0.000 0.713
As2 0.000 0.000 0.287
K1 0.500 0.500 0.000

=====

DFT (meta-GGA SCAN) results for a PBEsol-optimized structure of Sc2SnBr2.

Results
The electronic total energy comes out at -21.437 eV per atom. The total magnetization comes out at 0.24 μB/cell. The calculation puts the uncorrected formation energy at -0.77 eV/atom. Its density of states at the Fermi level is 3.51 states/eV/f.u.

Unit cell a=4.259 b=4.259 c=7.271 alpha=107.03 beta=107.03 gamma=90.00
Last column: magnetic moment on the atom in μB.
Positions (direct):
Sc1 0.618 0.618 0.236  0.12
Sc2 0.382 0.382 0.764  0.12
Sn1 0.000 0.000 0.000  -0.05
Br1 0.750 0.250 0.500  -0.01
Br2 0.250 0.750 0.500  -0.01

=====

Question: The lowest electronic total energy belongs to which entry?
Answer: La2Cu2Ag

=====

Question: The highest electronic total energy belongs to which entry?
Answer: KMgAs2

=====

Question: electronic total energy of number 3 (KMgAs2)?
Answer: -13.768 eV per atom